(1)
Material: BaLi2Be
Method: DFT, PBE-GGA
State: optimized geometry

```
BaLi2Be
1.0
-0.3407 -3.4629 -2.4431
-1.5149 -1.9954 3.0397
-6.8046 0.9067 -0.3362
Ba Be Li
1 1 2
Direct
0.0000 0.5270 0.5585 Ba
0.5000 0.9003 0.8217 Be
0.0000 0.8029 0.0272 Li
0.5000 0.2697 0.0925 Li
```

Output
Its theoretical density is 2.4 g/cm³. The value obtained for the total energy is -2.037 eV per atom. The crystal system is monoclinic. The formation energy comes out at 128 kJ/mol of formula units. As for the total magnetization: 0.00 μB/atom.

=====

(2)
Material: Ba2LiBe
Method: DFT, PBE-GGA
State: optimized geometry

```
Ba2LiBe
1.0
-2.7737 7.3588 -4.7366
-7.0153 1.1010 5.8185
-2.7367 6.4477 2.7230
Be Ba Li
2 4 2
Direct
0.0000 0.0000 0.0000 Be
0.7500 0.2500 0.5000 Be
0.6655 0.1250 0.2500 Ba
0.0845 0.6250 0.2500 Ba
0.3750 0.3345 0.7500 Ba
0.8750 0.9155 0.7500 Ba
0.5000 0.5000 0.0000 Li
0.2500 0.7500 0.5000 Li
```

Output
Its theoretical density is 3.0 g/cm³. The value obtained for the total energy is -1.801 eV per atom. The crystal system is tetragonal. The formation energy comes out at 220 kJ/mol of formula units. As for the total magnetization: 0.00 μB/atom.

=====

(3)
Material: BaLi3Be
Method: DFT, PBE-GGA
State: optimized geometry

```
BaLi3Be
1.0
5.0246 0.0000 0.0000
0.0000 5.0246 0.0000
0.0000 0.0000 5.0246
Be Ba Li
1 1 3
Direct
0.0000 0.0000 0.0000 Be
0.5000 0.5000 0.5000 Ba
0.0000 0.5000 0.0000 Li
0.0000 0.0000 0.5000 Li
0.5000 0.0000 0.0000 Li
```

Output
Its theoretical density is 2.2 g/cm³. The value obtained for the total energy is -2.013 eV per atom. The crystal system is cubic. The formation energy comes out at 128 kJ/mol of formula units. As for the total magnetization: 0.00 μB/atom. The calculation puts the energy above the most stable polymorph in this dataset at 0 meV per atom.

=====

(4)
Material: BaLiBe2
Method: DFT, PBE-GGA
State: optimized geometry

```
BaLiBe2
1.0
-0.9408 -2.6220 4.4133
0.4836 -4.4621 -2.6634
3.2543 -0.0453 0.6668
Ba Be Li
1 2 1
Direct
0.0000 0.5000 0.5000 Ba
0.0000 0.0000 0.0000 Be
0.5000 0.5000 0.0000 Be
0.5000 0.0000 0.5000 Li
```

Output
Its theoretical density is 3.0 g/cm³. The value obtained for the total energy is -1.975 eV per atom. The crystal system is orthorhombic. The formation energy comes out at 327 kJ/mol of formula units. As for the total magnetization: 0.00 μB/atom. The calculation puts the energy above the most stable polymorph in this dataset at 500 meV per atom.

=====

(5)
Material: BaLi2Be
Method: DFT, PBE-GGA
State: optimized geometry

```
BaLi2Be
1.0
4.7583 -0.0189 0.0222
2.8756 3.7912 0.0222
1.6038 0.7925 5.8252
Ba Be Li
1 1 2
Direct
0.2500 0.2500 0.2500 Ba
0.7500 0.7500 0.7500 Be
0.0607 0.0607 0.8277 Li
0.4393 0.4393 0.6723 Li
```

Output
Its theoretical density is 2.5 g/cm³. The value obtained for the total energy is -2.054 eV per atom. The crystal system is monoclinic. The formation energy comes out at 122 kJ/mol of formula units. As for the total magnetization: 0.00 μB/atom.

=====

(6)
Material: Ba2LiBe
Method: DFT, PBE-GGA
State: optimized geometry

```
Ba2LiBe
1.0
-1.3904 0.3001 4.8488
4.4002 -1.3787 1.3471
3.9581 5.0914 0.8199
Ba Be Li
2 1 1
Direct
0.0000 0.9802 0.9153 Ba
0.5000 0.2664 0.3424 Ba
0.0000 0.6752 0.5232 Be
0.5000 0.5782 0.7191 Li
```

Output
Its theoretical density is 3.3 g/cm³. The value obtained for the total energy is -2.051 eV per atom. The crystal system is monoclinic. The formation energy comes out at 124 kJ/mol of formula units. As for the total magnetization: 0.00 μB/atom.

=====

(7)
Material: BaLi2Be
Method: DFT, PBE-GGA
State: optimized geometry

```
BaLi2Be
1.0
5.0850 0.0000 0.0000
0.0000 5.0850 0.0000
2.5425 2.5425 9.1006
Be Ba Li
2 2 4
Direct
0.5000 0.5000 0.0000 Be
0.2500 0.7500 0.5000 Be
0.0000 0.0000 0.0000 Ba
0.7500 0.2500 0.5000 Ba
0.3760 0.1250 0.2500 Li
0.3740 0.6250 0.2500 Li
0.3750 0.6240 0.7500 Li
0.8750 0.6260 0.7500 Li
```

Output
Its theoretical density is 2.3 g/cm³. The value obtained for the total energy is -1.923 eV per atom. The crystal system is tetragonal. The formation energy comes out at 172 kJ/mol of formula units. As for the total magnetization: 0.00 μB/atom.

=====

(8)
Material: BaLi2Be
Method: DFT, PBE-GGA
State: optimized geometry

```
BaLi2Be
1.0
-0.4813 0.9388 -4.3577
-1.5163 -4.1561 -0.7279
-5.3701 1.7878 0.9783
Ba Be Li
1 1 2
Direct
0.5000 0.0000 0.5000 Ba
0.0000 0.5000 0.5000 Be
0.0000 0.0000 0.0000 Li
0.5000 0.5000 0.0000 Li
```

Output
Its theoretical density is 2.3 g/cm³. The value obtained for the total energy is -1.843 eV per atom. The crystal system is tetragonal. The formation energy comes out at 203 kJ/mol of formula units. As for the total magnetization: 0.00 μB/atom.

=====

(9)
Material: BaLi2Be
Method: DFT, PBE-GGA
State: optimized geometry

```
BaLi2Be
1.0
4.7439 0.0000 0.0000
0.0000 4.3585 0.0202
0.0000 1.1201 5.4469
Ba Be Li
1 1 2
Direct
0.5000 0.2500 0.2500 Ba
0.5000 0.7500 0.7500 Be
0.0000 0.9240 0.9054 Li
0.0000 0.5760 0.5946 Li
```

Output
Its theoretical density is 2.4 g/cm³. The value obtained for the total energy is -1.963 eV per atom. The crystal system is monoclinic. The formation energy comes out at 157 kJ/mol of formula units. As for the total magnetization: 0.00 μB/atom.

=====

(10)
Material: BaLiBe3
Method: DFT, PBE-GGA
State: optimized geometry

```
BaLiBe3
1.0
4.6009 0.0000 0.0000
0.0000 4.6009 0.0000
0.0000 0.0000 4.6009
Be Ba Li
3 1 1
Direct
0.0000 0.5000 0.0000 Be
0.0000 0.0000 0.5000 Be
0.5000 0.0000 0.0000 Be
0.5000 0.5000 0.5000 Ba
0.0000 0.0000 0.0000 Li
```

Output
Its theoretical density is 2.9 g/cm³. The value obtained for the total energy is -2.172 eV per atom. The crystal system is cubic. The formation energy comes out at 401 kJ/mol of formula units. As for the total magnetization: 0.00 μB/atom. The calculation puts the energy above the most stable polymorph in this dataset at 0 meV per atom.

=====

(11)
Material: BaLi2Be
Method: DFT, PBE-GGA
State: optimized geometry

```
BaLi2Be
1.0
-0.5739 -4.3142 -2.8637
0.8407 -1.1789 6.2185
-3.4337 -0.6604 1.4267
Ba Be Li
1 1 2
Direct
0.0000 0.5000 0.5000 Ba
0.5000 0.5000 0.0000 Be
0.0000 0.0000 0.0000 Li
0.5000 0.0000 0.5000 Li
```

Output
Its theoretical density is 2.4 g/cm³. The value obtained for the total energy is -1.825 eV per atom. The crystal system is monoclinic. The formation energy comes out at 210 kJ/mol of formula units. As for the total magnetization: 0.00 μB/atom.

=====

(12)
Material: BaLi2Be
Method: DFT, PBE-GGA
State: optimized geometry

```
BaLi2Be
1.0
5.5238 -0.0497 0.0000
1.0915 5.4151 0.0000
-3.3076 -2.6827 3.5181
Ba Be Li
1 1 2
Direct
0.5000 0.5000 0.0000 Ba
0.7500 0.2500 0.5000 Be
0.0000 0.0000 0.0000 Li
0.2500 0.7500 0.5000 Li
```

Output
Its theoretical density is 2.5 g/cm³. The value obtained for the total energy is -1.935 eV per atom. The crystal system is tetragonal. The formation energy comes out at 168 kJ/mol of formula units. As for the total magnetization: 0.00 μB/atom.

=====

(13)
Material: BaLiBe2
Method: DFT, PBE-GGA
State: optimized geometry

```
BaLiBe2
1.0
4.5241 0.0000 0.0000
0.0000 4.5241 0.0000
2.2620 2.2620 9.2069
Be Ba Li
4 2 2
Direct
0.3750 0.1250 0.2500 Be
0.3750 0.6250 0.2500 Be
0.3750 0.6250 0.7500 Be
0.8750 0.6250 0.7500 Be
0.0000 0.0000 0.0000 Ba
0.7500 0.2500 0.5000 Ba
0.5000 0.5000 0.0000 Li
0.2500 0.7500 0.5000 Li
```

Output
Its theoretical density is 2.9 g/cm³. The value obtained for the total energy is -2.317 eV per atom. The crystal system is tetragonal. The formation energy comes out at 195 kJ/mol of formula units. As for the total magnetization: 0.00 μB/atom. The calculation puts the energy above the most stable polymorph in this dataset at 158 meV per atom.

=====

(14)
Material: BaLiBe2
Method: DFT, PBE-GGA
State: optimized geometry

```
BaLiBe2
1.0
-2.8709 -2.1602 1.9390
2.9555 -1.6394 2.5495
0.7319 3.4181 4.8918
Ba Be Li
1 2 1
Direct
0.5000 0.7900 0.7970 Ba
0.0000 0.1225 0.1307 Be
0.5000 0.0774 0.2167 Be
0.0000 0.5101 0.3556 Li
```

Output
Its theoretical density is 2.8 g/cm³. The value obtained for the total energy is -2.409 eV per atom. The crystal system is monoclinic. The formation energy comes out at 160 kJ/mol of formula units. As for the total magnetization: 0.00 μB/atom. The calculation puts the energy above the most stable polymorph in this dataset at 67 meV per atom.

=====

(15)
Material: BaLiBe2
Method: DFT, PBE-GGA
State: optimized geometry

```
BaLiBe2
1.0
-0.5314 -4.7520 1.7189
1.0005 -1.0684 4.8658
-3.7931 -1.1413 3.1824
Be Ba Li
2 1 1
Direct
0.2500 0.2500 0.2500 Be
0.7500 0.7500 0.7500 Be
0.5000 0.5000 0.5000 Ba
0.0000 0.0000 0.0000 Li
```

Output
Its theoretical density is 2.9 g/cm³. The value obtained for the total energy is -2.072 eV per atom. The crystal system is cubic. The formation energy comes out at 289 kJ/mol of formula units. As for the total magnetization: 0.00 μB/atom. The calculation puts the energy above the most stable polymorph in this dataset at 403 meV per atom.

=====

(16)
Material: BaLiBe
Method: DFT, PBE-GGA
State: optimized geometry

```
BaLiBe
1.0
4.8088 0.0000 0.0000
-2.4044 4.1646 0.0000
0.0000 0.0000 4.3517
Ba Be Li
1 1 1
Direct
0.0000 0.0000 0.0000 Ba
0.3333 0.6667 0.5000 Be
0.6667 0.3333 0.5001 Li
```

Output
Its theoretical density is 2.9 g/cm³. The value obtained for the total energy is -2.081 eV per atom. The crystal system is hexagonal. The formation energy comes out at 127 kJ/mol of formula units. As for the total magnetization: 0.00 μB/atom. The calculation puts the energy above the most stable polymorph in this dataset at 0 meV per atom.

=====

(17)
Material: BaLi2Be
Method: DFT, PBE-GGA
State: optimized geometry

```
BaLi2Be
1.0
3.6149 0.0000 0.0000
0.0000 3.6149 0.0000
0.0000 0.0000 7.8198
Ba Be Li
1 1 2
Direct
0.0000 0.0000 0.5475 Ba
0.5000 0.5000 0.8218 Be
0.0000 0.0000 0.9669 Li
0.5000 0.5000 0.1638 Li
```

Output
Its theoretical density is 2.6 g/cm³. The value obtained for the total energy is -2.028 eV per atom. The crystal system is tetragonal. The formation energy comes out at 131 kJ/mol of formula units. As for the total magnetization: 0.00 μB/atom.

=====

(18)
Material: BaLi2Be
Method: DFT, PBE-GGA
State: optimized geometry

```
BaLi2Be
1.0
-2.5777 4.5175 1.2560
-4.5636 -0.2097 2.7857
-0.1166 1.6912 5.0751
Ba Be Li
1 1 2
Direct
0.5000 0.5000 0.5000 Ba
0.7500 0.7500 0.7500 Be
0.0000 0.0000 0.0000 Li
0.2500 0.2500 0.2500 Li
```

Output
Its theoretical density is 2.5 g/cm³. The value obtained for the total energy is -1.929 eV per atom. The crystal system is cubic. The formation energy comes out at 170 kJ/mol of formula units. As for the total magnetization: 0.00 μB/atom.

=====

(19)
Material: Ba2LiBe
Method: DFT, PBE-GGA
State: optimized geometry

```
Ba2LiBe
1.0
7.0700 0.0947 0.0577
5.9284 3.8532 0.0577
2.2854 0.6941 5.2253
Ba Be Li
2 1 1
Direct
0.9967 0.9967 0.0034 Ba
0.8044 0.8044 0.6958 Ba
0.5244 0.5244 0.4753 Be
0.1745 0.1745 0.3255 Li
```

Output
Its theoretical density is 3.5 g/cm³. The value obtained for the total energy is -2.017 eV per atom. The crystal system is orthorhombic. The formation energy comes out at 137 kJ/mol of formula units. As for the total magnetization: 0.00 μB/atom.

=====

(20)
Material: BaLiBe
Method: DFT, PBE-GGA
State: optimized geometry

```
BaLiBe
1.0
5.2210 0.0000 0.0000
2.6105 4.5215 0.0000
2.6105 1.5072 4.2629
Ba Be Li
1 1 1
Direct
0.5000 0.5000 0.5000 Ba
0.2500 0.2500 0.2500 Be
0.0000 0.0000 0.0000 Li
```

Output
Its theoretical density is 2.5 g/cm³. The value obtained for the total energy is -1.948 eV per atom. The crystal system is cubic. The formation energy comes out at 166 kJ/mol of formula units. As for the total magnetization: 0.00 μB/atom. The calculation puts the energy above the most stable polymorph in this dataset at 133 meV per atom.